#P
The following is a meta-GGA SCAN calculation of a crystal of CaCrAs2 relaxed with PBEsol, from the Alexandria database.

Summary:
- DOS(E_F): 0.400 states/eV per atom
- Magnetization: 3.821 μB per formula unit
- Space group: Cm
- V: 79.7 Å³/cell

abc: 3.9245 4.0341 5.5240
angles: 101.94 110.81 90.00
Positions (direct):
Cr  0.2385  0.8518  0.4770
As  0.7744  0.3896  0.5489
As  0.9848  0.8703  0.9696
Ca  0.5023  0.3883  0.0045


#Q
The following is a meta-GGA SCAN calculation of a crystal of CaCrAs2 relaxed with PBEsol, from the Alexandria database.

Summary:
- DOS(E_F): 0.540 states/eV per atom
- Magnetization: 2.811 μB per formula unit
- Space group: R3m
- V: 77.7 Å³/cell

abc: 3.2285 3.2285 8.8113
angles: 79.44 79.44 60.00
Positions (direct):
As  0.7446  0.7446  0.7662
As  0.9872  0.9872  0.0384
Cr  0.2649  0.2649  0.2052
Ca  0.5032  0.5032  0.4903


Last place for stability: #Q


#P
The following is a meta-GGA SCAN calculation of a crystal of CaAsF2 relaxed with PBEsol, from the Alexandria database.

Summary:
- DOS(E_F): 0.290 states/eV per atom
- Magnetization: 0.000 μB per formula unit
- Space group: R-3m
- V: 84.7 Å³/cell

abc: 3.2779 3.2779 9.2999
angles: 79.85 79.85 60.00
Positions (direct):
Ca  0.5000  0.5000  0.5000
F  0.8736  0.8736  0.3791
F  0.1264  0.1264  0.6209
As  0.0000  0.0000  0.0000


#Q
The following is a meta-GGA SCAN calculation of a crystal of CaAsF2 relaxed with PBEsol, from the Alexandria database.

Summary:
- DOS(E_F): 0.399 states/eV per atom
- Magnetization: 0.475 μB per formula unit
- Space group: R-3m
- V: 71.5 Å³/cell

abc: 3.1960 3.1960 8.2939
angles: 78.89 78.89 60.00
Positions (direct):
Ca  0.0000  0.0000  0.0000
As  0.5000  0.5000  0.5000
F  0.9139  0.9139  0.2582
F  0.0861  0.0861  0.7418


Last place for stability: #Q


#P
The following is a meta-GGA SCAN calculation of a crystal of CaAs3Ir relaxed with PBEsol, from the Alexandria database.

Summary:
- DOS(E_F): 0.928 states/eV per atom
- Magnetization: 2.217 μB per formula unit
- Space group: Pm-3m
- V: 124.9 Å³/cell

abc: 4.9985 4.9985 4.9985
angles: 90.00 90.00 90.00
Positions (direct):
Ca  0.0000  0.0000  0.0000
Ir  0.5000  0.5000  0.5000
As  0.5000  0.0000  0.0000
As  0.0000  0.5000  0.0000
As  0.0000  0.0000  0.5000


#Q
The following is a meta-GGA SCAN calculation of a crystal of CaAs3Ir relaxed with PBEsol, from the Alexandria database.

Summary:
- DOS(E_F): 0.771 states/eV per atom
- Magnetization: 0.000 μB per formula unit
- Space group: Pm-3m
- V: 116.0 Å³/cell

abc: 4.8767 4.8767 4.8767
angles: 90.00 90.00 90.00
Positions (direct):
Ca  0.5000  0.5000  0.5000
As  0.0000  0.0000  0.5000
As  0.5000  0.0000  0.0000
As  0.0000  0.5000  0.0000
Ir  0.0000  0.0000  0.0000


Last place for stability: #P


#P
The following is a meta-GGA SCAN calculation of a crystal of CaLa2As2 relaxed with PBEsol, from the Alexandria database.

Summary:
- DOS(E_F): 0.388 states/eV per atom
- Magnetization: 0.000 μB per formula unit
- Space group: P4/mbm
- V: 267.3 Å³/cell

abc: 4.1460 8.0289 8.0289
angles: 90.00 90.00 90.00
Positions (direct):
Ca  0.0000  0.5000  0.5000
Ca  0.0000  0.0000  0.0000
As  0.0000  0.3452  0.8452
As  0.0000  0.6548  0.1548
As  0.0000  0.8452  0.6548
As  0.0000  0.1548  0.3452
La  0.5000  0.8492  0.3492
La  0.5000  0.3492  0.1508
La  0.5000  0.1508  0.6508
La  0.5000  0.6508  0.8492


#Q
The following is a meta-GGA SCAN calculation of a crystal of CaLa2As2 relaxed with PBEsol, from the Alexandria database.

Summary:
- DOS(E_F): 0.606 states/eV per atom
- Magnetization: 0.000 μB per formula unit
- Space group: I4/mmm
- V: 137.2 Å³/cell

abc: 4.4948 4.4948 7.4991
angles: 107.44 107.44 90.00
Positions (direct):
La  0.2500  0.7500  0.5000
La  0.7500  0.2500  0.5000
As  0.5987  0.5987  0.1974
As  0.4013  0.4013  0.8026
Ca  0.0000  0.0000  0.0000


Last place for stability: #Q


#P
The following is a meta-GGA SCAN calculation of a crystal of CaMoAs2 relaxed with PBEsol, from the Alexandria database.

Summary:
- DOS(E_F): 0.546 states/eV per atom
- Magnetization: 1.099 μB per formula unit
- Space group: Pmmm
- V: 76.6 Å³/cell

abc: 3.5714 4.0775 5.2604
angles: 90.00 90.00 90.00
Positions (direct):
Ca  0.0000  0.0000  0.5000
Mo  0.5000  0.5000  0.0000
As  0.0000  0.0000  0.0000
As  0.5000  0.5000  0.5000


#Q
The following is a meta-GGA SCAN calculation of a crystal of CaMoAs2 relaxed with PBEsol, from the Alexandria database.

Summary:
- DOS(E_F): 0.572 states/eV per atom
- Magnetization: 0.909 μB per formula unit
- Space group: Imm2
- V: 79.3 Å³/cell

abc: 3.3062 3.5041 7.2602
angles: 103.96 103.16 90.00
Positions (direct):
As  0.9313  0.9313  0.8625
As  0.7218  0.2218  0.4436
Mo  0.2968  0.7968  0.5935
Ca  0.5502  0.5502  0.1004


#R
The following is a meta-GGA SCAN calculation of a crystal of CaMoAs2 relaxed with PBEsol, from the Alexandria database.

Summary:
- DOS(E_F): 0.481 states/eV per atom
- Magnetization: 2.081 μB per formula unit
- Space group: F-43m
- V: 72.6 Å³/cell

abc: 4.6817 4.6817 4.6817
angles: 60.00 60.00 60.00
Positions (direct):
Ca  0.5000  0.5000  0.5000
As  0.0000  0.0000  0.0000
As  0.7500  0.7500  0.7500
Mo  0.2500  0.2500  0.2500


Last place for stability: #R


#P
The following is a meta-GGA SCAN calculation of a crystal of NaCaAsO4 relaxed with PBEsol, from the Alexandria database.

Summary:
- DOS(E_F): 0.000 states/eV per atom
- Magnetization: 0.000 μB per formula unit
- Space group: Pnma
- V: 400.1 Å³/cell

abc: 5.2447 6.6352 11.4966
angles: 90.00 90.00 90.00
Positions (direct):
O  0.2941  0.9516  0.3312
O  0.2059  0.9516  0.8312
O  0.3147  0.7500  0.5406
O  0.7059  0.0484  0.6688
O  0.2425  0.2500  0.6042
O  0.1853  0.7500  0.0406
O  0.7941  0.4516  0.1688
O  0.2575  0.2500  0.1042
O  0.8147  0.2500  0.9594
O  0.6853  0.2500  0.4594
O  0.7575  0.7500  0.3958
O  0.7059  0.4516  0.6688
O  0.7425  0.7500  0.8958
O  0.2941  0.5484  0.3312
O  0.7941  0.0484  0.1688
O  0.2059  0.5484  0.8312
Ca  0.9959  0.7500  0.2200
Ca  0.5041  0.7500  0.7200
Ca  0.4959  0.2500  0.2800
Ca  0.0041  0.2500  0.7800
Na  0.5000  0.5000  0.0000
Na  0.5000  0.0000  0.0000
Na  0.0000  0.0000  0.5000
Na  0.0000  0.5000  0.5000
As  0.9335  0.2500  0.0981
As  0.5665  0.2500  0.5981
As  0.0665  0.7500  0.9019
As  0.4335  0.7500  0.4019


#Q
The following is a meta-GGA SCAN calculation of a crystal of NaCaAsO4 relaxed with PBEsol, from the Alexandria database.

Summary:
- DOS(E_F): 0.000 states/eV per atom
- Magnetization: 0.000 μB per formula unit
- Space group: Cmcm
- V: 192.6 Å³/cell

abc: 5.4687 5.4687 7.1397
angles: 90.00 90.00 115.56
Positions (direct):
Ca  0.0000  0.0000  0.5000
Ca  0.0000  0.0000  0.0000
O  0.7757  0.6983  0.7500
O  0.2243  0.3017  0.2500
O  0.6983  0.7757  0.2500
O  0.3017  0.2243  0.7500
O  0.2434  0.7566  0.4444
O  0.7566  0.2434  0.5556
O  0.2434  0.7566  0.0556
O  0.7566  0.2434  0.9444
As  0.3483  0.6517  0.2500
As  0.6517  0.3483  0.7500
Na  0.6792  0.3208  0.2500
Na  0.3208  0.6792  0.7500


Last place for stability: #Q


#P
The following is a meta-GGA SCAN calculation of a crystal of CaScAs2 relaxed with PBEsol, from the Alexandria database.

Summary:
- DOS(E_F): 0.547 states/eV per atom
- Magnetization: 0.000 μB per formula unit
- Space group: R-3m
- V: 90.3 Å³/cell

abc: 3.9429 3.9429 7.0855
angles: 73.84 73.84 60.00
Positions (direct):
Sc  0.5000  0.5000  0.5000
Ca  0.0000  0.0000  0.0000
As  0.7595  0.7595  0.7216
As  0.2405  0.2405  0.2784


#Q
The following is a meta-GGA SCAN calculation of a crystal of CaScAs2 relaxed with PBEsol, from the Alexandria database.

Summary:
- DOS(E_F): 0.399 states/eV per atom
- Magnetization: 0.000 μB per formula unit
- Space group: Immm
- V: 85.3 Å³/cell

abc: 4.2240 5.0553 5.0553
angles: 65.52 65.31 65.31
Positions (direct):
As  0.2624  0.7376  0.7376
As  0.7376  0.2624  0.2624
Sc  0.0000  0.5000  0.5000
Ca  0.5000  0.0000  0.0000


Last place for stability: #Q


#P
The following is a meta-GGA SCAN calculation of a crystal of CaTl2As relaxed with PBEsol, from the Alexandria database.

Summary:
- DOS(E_F): 0.542 states/eV per atom
- Magnetization: 0.000 μB per formula unit
- Space group: Fm-3m
- V: 102.2 Å³/cell

abc: 5.2473 5.2473 5.2473
angles: 60.00 60.00 60.00
Positions (direct):
As  0.0000  0.0000  0.0000
Tl  0.2500  0.2500  0.2500
Tl  0.7500  0.7500  0.7500
Ca  0.5000  0.5000  0.5000


#Q
The following is a meta-GGA SCAN calculation of a crystal of CaTl2As relaxed with PBEsol, from the Alexandria database.

Summary:
- DOS(E_F): 0.337 states/eV per atom
- Magnetization: 0.000 μB per formula unit
- Space group: Pm
- V: 107.6 Å³/cell

abc: 4.0563 4.3608 6.4753
angles: 109.99 90.00 90.00
Positions (direct):
As  0.0000  0.7260  0.5733
Tl  0.5000  0.5457  0.2184
Tl  0.0000  0.9598  0.0492
Ca  0.5000  0.2686  0.6591


Last place for stability: #P


#P
The following is a meta-GGA SCAN calculation of a crystal of CaYAs2 relaxed with PBEsol, from the Alexandria database.

Summary:
- DOS(E_F): 0.378 states/eV per atom
- Magnetization: 0.000 μB per formula unit
- Space group: Cm
- V: 92.2 Å³/cell

abc: 3.9455 4.3054 5.8030
angles: 95.74 109.87 90.00
Positions (direct):
Y  0.7512  0.1221  0.5023
Ca  0.4957  0.6281  0.9915
As  0.2321  0.6087  0.4643
As  0.0210  0.1410  0.0419


#Q
The following is a meta-GGA SCAN calculation of a crystal of CaYAs2 relaxed with PBEsol, from the Alexandria database.

Summary:
- DOS(E_F): 0.300 states/eV per atom
- Magnetization: 0.000 μB per formula unit
- Space group: Cmmm
- V: 91.7 Å³/cell

abc: 3.5126 3.5126 7.5910
angles: 90.00 90.00 101.62
Positions (direct):
As  0.0000  0.0000  0.7605
As  0.0000  0.0000  0.2395
Ca  0.5000  0.5000  0.5000
Y  0.5000  0.5000  0.0000


Last place for stability: #Q


#P
The following is a meta-GGA SCAN calculation of a crystal of CaYAs2 relaxed with PBEsol, from the Alexandria database.

Summary:
- DOS(E_F): 0.502 states/eV per atom
- Magnetization: 0.000 μB per formula unit
- Space group: C2/m
- V: 90.3 Å³/cell

abc: 3.3181 5.2559 5.2559
angles: 90.65 96.98 96.98
Positions (direct):
As  0.0000  0.5000  0.0000
As  0.0000  0.0000  0.5000
Ca  0.5000  0.0000  0.0000
Y  0.5000  0.5000  0.5000


#Q
The following is a meta-GGA SCAN calculation of a crystal of CaYAs2 relaxed with PBEsol, from the Alexandria database.

Summary:
- DOS(E_F): 0.490 states/eV per atom
- Magnetization: 0.000 μB per formula unit
- Space group: I4/mmm
- V: 89.7 Å³/cell

abc: 4.9445 5.0671 4.9445
angles: 119.20 90.00 119.20
Positions (direct):
As  0.7500  0.5000  0.2500
As  0.2500  0.5000  0.7500
Y  0.0000  0.0000  0.0000
Ca  0.5000  0.0000  0.5000


Last place for stability: #Q


#P
The following is a meta-GGA SCAN calculation of a crystal of Cd2As relaxed with PBEsol, from the Alexandria database.

Summary:
- DOS(E_F): 0.427 states/eV per atom
- Magnetization: 0.000 μB per formula unit
- Space group: I4/mmm
- V: 61.5 Å³/cell

abc: 3.1136 3.1136 6.7113
angles: 103.41 103.41 90.00
Positions (direct):
Cd  0.8350  0.8350  0.6699
Cd  0.1650  0.1650  0.3301
As  0.5000  0.5000  0.0000


#Q
The following is a meta-GGA SCAN calculation of a crystal of Cd2As relaxed with PBEsol, from the Alexandria database.

Summary:
- DOS(E_F): 0.395 states/eV per atom
- Magnetization: 0.000 μB per formula unit
- Space group: I4_1/amd
- V: 128.2 Å³/cell

abc: 3.1683 3.1683 12.9691
angles: 97.02 97.02 90.00
Positions (direct):
Cd  0.4221  0.4221  0.8442
Cd  0.5779  0.5779  0.1558
Cd  0.6721  0.1721  0.3442
Cd  0.8279  0.3279  0.6558
As  0.2500  0.7500  0.5000
As  0.0000  0.0000  0.0000


#R
The following is a meta-GGA SCAN calculation of a crystal of Cd2As relaxed with PBEsol, from the Alexandria database.

Summary:
- DOS(E_F): 0.401 states/eV per atom
- Magnetization: 0.000 μB per formula unit
- Space group: P4/mmm
- V: 69.0 Å³/cell

abc: 3.8578 4.2288 4.2288
angles: 90.00 90.00 90.00
Positions (direct):
As  0.0000  0.0000  0.0000
Cd  0.5000  0.5000  0.0000
Cd  0.5000  0.0000  0.5000


#S
The following is a meta-GGA SCAN calculation of a crystal of Cd2As relaxed with PBEsol, from the Alexandria database.

Summary:
- DOS(E_F): 0.386 states/eV per atom
- Magnetization: 0.000 μB per formula unit
- Space group: I4/mcm
- V: 131.8 Å³/cell

abc: 5.6408 5.6408 5.6408
angles: 95.01 117.15 117.15
Positions (direct):
Cd  0.1352  0.3176  0.8176
Cd  0.5000  0.1824  0.3176
Cd  0.5000  0.8176  0.6824
Cd  0.8648  0.6824  0.1824
As  0.0000  0.7500  0.7500
As  0.0000  0.2500  0.2500


Last place for stability: #P


#P
The following is a meta-GGA SCAN calculation of a crystal of CdAs2Cl relaxed with PBEsol, from the Alexandria database.

Summary:
- DOS(E_F): 0.622 states/eV per atom
- Magnetization: 0.000 μB per formula unit
- Space group: Cm
- V: 93.2 Å³/cell

abc: 3.6650 3.6743 8.2576
angles: 102.75 90.00 119.92
Positions (direct):
Cd  0.5025  0.0049  0.5043
Cl  0.7705  0.5410  0.3072
As  0.2510  0.5019  0.7569
As  0.9761  0.9522  0.9316


#Q
The following is a meta-GGA SCAN calculation of a crystal of CdAs2Cl relaxed with PBEsol, from the Alexandria database.

Summary:
- DOS(E_F): 0.217 states/eV per atom
- Magnetization: 0.000 μB per formula unit
- Space group: Imm2
- V: 96.2 Å³/cell

abc: 3.5047 3.6449 7.9452
angles: 103.26 102.74 90.00
Positions (direct):
As  0.9501  0.9501  0.9002
As  0.3390  0.8390  0.6779
Cd  0.5466  0.5466  0.0932
Cl  0.6643  0.1643  0.3287


Last place for stability: #Q